## Hf2Cu (PBE)

Data for Hf2Cu after structural relaxation.

Properties
Volume ... 56.0 Å³/f.u.
M_tot ... 0.002 μB per formula unit
Calculated formation energy ... -0.16 eV/atom
Calculated total energy ... -8.037 eV/atom

a b c (Å): 3.1694 3.1694 6.0042
angles (deg): 105.30 105.30 89.94
Atoms (fractional coordinates):
Cu  0.5000  0.5000  0.0000
Hf  0.1565  0.1565  0.3131
Hf  0.8435  0.8435  0.6869